Entry 1:
DFT (PBE) results for crystalline TbPuPd at its relaxed geometry.

Cell: 3.546 3.546 11.938 Å, 90.00 90.00 90.00°
Space group I4mm (No. 107)
Unique sites:
Tb  0.000  0.000  0.000
Pu  0.000  0.000  0.715
Pd  0.000  0.000  0.367

Values from the calculation:
The value obtained for the density is 11.27 g/cm³. The formation energy comes out at -335 meV per atom. The calculation puts the relative energy among the computed polymorphs at 0 meV per atom.

Entry 2:
DFT (PBE) results for crystalline TbPu2Pd at its relaxed geometry.

Cell: 3.675 3.675 7.611 Å, 90.00 90.00 90.00°
Space group P4/mmm (No. 123)
Unique sites:
Tb  0.000  0.000  0.000
Pu  0.500  0.500  0.296
Pd  0.000  0.000  0.500

Values from the calculation:
The value obtained for the density is 12.17 g/cm³. The formation energy comes out at -92 meV per atom.

Entry 3:
DFT (PBE) results for crystalline TbPuPd2 at its relaxed geometry.

Cell: 3.805 4.432 5.748 Å, 90.00 109.23 90.00°
Space group Pm (No. 6)
Unique sites:
Tb  0.000  0.000  0.000
Pu  0.278  0.500  0.556
Pd  0.552  0.500  0.105
Pd  0.725  0.000  0.451

Values from the calculation:
The value obtained for the density is 11.17 g/cm³. The formation energy comes out at -648 meV per atom.

Entry 4:
DFT (PBE) results for crystalline TbPuPd2 at its relaxed geometry.

Cell: 3.489 3.489 7.188 Å, 90.00 90.00 90.00°
Space group P4/mmm (No. 123)
Unique sites:
Tb  0.000  0.000  0.000
Pu  0.000  0.000  0.500
Pd  0.500  0.500  0.235

Values from the calculation:
The value obtained for the density is 11.69 g/cm³. The formation energy comes out at -633 meV per atom.